{"formula": "Ca6Ac12La", "functional": "GGA-PBE", "state": "optimized geometry", "lattice": [[7.387, 4.265, 4.546], [-7.387, 4.265, 4.546], [0.000, -8.530, 4.546]], "species": ["Ca", "Ca", "Ca", "Ca", "Ca", "Ca", "Ac", "Ac", "Ac", "Ac", "Ac", "Ac", "Ac", "Ac", "Ac", "Ac", "Ac", "Ac", "La"], "fractional_positions": [[0.087, 0.343, 0.343], [0.343, 0.087, 0.343], [0.343, 0.343, 0.087], [0.657, 0.657, 0.913], [0.657, 0.913, 0.657], [0.913, 0.657, 0.657], [0.095, 0.095, 0.672], [0.095, 0.672, 0.095], [0.238, 0.500, 0.762], [0.238, 0.762, 0.500], [0.328, 0.905, 0.905], [0.500, 0.238, 0.762], [0.500, 0.762, 0.238], [0.672, 0.095, 0.095], [0.762, 0.238, 0.500], [0.762, 0.500, 0.238], [0.905, 0.328, 0.905], [0.905, 0.905, 0.328], [0.500, 0.500, 0.500]], "final_energy_ev_per_atom": -3.350, "n_ef_per_ev_atom": 1.62}